Entry 1:
## Ba2CaMgIr (PBE)

Data for crystalline Ba2CaMgIr at its relaxed geometry.

* ΔE_f: -34 kJ/mol of formula units
* total energy: -3.3306 eV per atom
* polymorph energy (0 for the lowest one): 0 meV/atom

CIF file:
```
data_Ba2CaMgIr
_chemical_formula_sum 'Ba2 Ca1 Mg1 Ir1'
_cell_length_a 6.131
_cell_length_b 6.131
_cell_length_c 5.568
_cell_angle_alpha 90.00
_cell_angle_beta 90.00
_cell_angle_gamma 90.00
_symmetry_space_group_name_H-M 'P 4/m m m'
_symmetry_Int_Tables_number 123
_symmetry_space_group_name_Hall '-P 4 2'
loop_
_atom_site_label
_atom_site_fract_x
_atom_site_fract_y
_atom_site_fract_z
Ba1 0.000 0.500 0.000
Ca1 0.000 0.000 0.500
Mg1 0.500 0.500 0.500
Ir1 0.000 0.000 0.000
```

***

Entry 2:
## Ba2CaMgIr (PBE)

Data for crystalline Ba2CaMgIr at its relaxed geometry.

* ΔE_f: 0 kJ/mol of formula units
* total energy: -3.2600 eV per atom
* polymorph energy (0 for the lowest one): 71 meV/atom

CIF file:
```
data_Ba2CaMgIr
_chemical_formula_sum 'Ba2 Ca1 Mg1 Ir1'
_cell_length_a 6.129
_cell_length_b 6.129
_cell_length_c 5.294
_cell_angle_alpha 90.00
_cell_angle_beta 90.00
_cell_angle_gamma 90.00
_symmetry_space_group_name_H-M 'P 4/m m m'
_symmetry_Int_Tables_number 123
_symmetry_space_group_name_Hall '-P 4 2'
loop_
_atom_site_label
_atom_site_fract_x
_atom_site_fract_y
_atom_site_fract_z
Ba1 0.000 0.500 0.000
Ca1 0.000 0.000 0.500
Mg1 0.500 0.500 0.500
Ir1 0.500 0.500 0.000
```